Record 1
The following is a GGA-PBE calculation of crystalline Sn3GeC at its relaxed geometry, from the Alexandria database.

Formation energy from the elements in eV per atom: 1.7691
Space group: Pm-3m (221)

a = 5.3247 Å, b = 5.3247 Å, c = 5.3247 Å
α = 90.00°, β = 90.00°, γ = 90.00°
With the nearest neighbours (Å) after each atom.
Fractional positions:
1 Sn 0.0000 0.0000 0.5000  2 Ge 2.66
2 Sn 0.0000 0.5000 0.0000  2 Ge 2.66
3 Sn 0.5000 0.0000 0.0000  2 Ge 2.66
4 Ge 0.0000 0.0000 0.0000  6 Sn 2.66
5 C 0.5000 0.5000 0.5000  12 Sn 3.77

Record 2
The following is a GGA-PBE calculation of crystalline GdTiSn2 at its relaxed geometry, from the Alexandria database.

Energy relative to the lowest polymorph listed for this composition in eV/atom: 0.026
Formation energy from the elements in eV per atom: -0.3427
Space group: P4/mmm (123)

a = 4.6141 Å, b = 4.6141 Å, c = 4.3866 Å
α = 90.00°, β = 90.00°, γ = 90.00°
With the nearest neighbours (Å) after each atom.
Fractional positions:
1 Gd 0.0000 0.0000 0.0000  8 Sn 3.18, 4 Ti 3.26
2 Ti 0.5000 0.5000 0.0000  8 Sn 3.18, 4 Gd 3.26
3 Sn 0.0000 0.5000 0.5000  4 Gd 3.18, 4 Ti 3.18, 4 Sn 3.26
4 Sn 0.5000 0.0000 0.5000  4 Gd 3.18, 4 Ti 3.18, 4 Sn 3.26

Record 3
The following is a GGA-PBE calculation of crystalline Ga4Ni7Rh at its relaxed geometry, from the Alexandria database.

Formation energy from the elements in eV per atom: -0.3031
Space group: P-1 (2)

a = 5.1825 Å, b = 5.6450 Å, c = 5.7933 Å
α = 72.91°, β = 65.81°, γ = 78.02°
With the nearest neighbours (Å) after each atom.
Fractional positions:
1 Ga 0.0942 0.3146 0.1928  8 Ni 2.44-2.65, 1 Rh 2.55
2 Ga 0.3412 0.3099 0.6513  8 Ni 2.37-2.61, 1 Rh 2.55
3 Ga 0.6588 0.6901 0.3487  8 Ni 2.37-2.61, 1 Rh 2.55
4 Ga 0.9058 0.6854 0.8072  8 Ni 2.44-2.65, 1 Rh 2.55
5 Ni 0.0000 0.0000 0.0000  4 Ga 2.56-2.57, 6 Ni 2.59-2.60, 2 Rh 2.59
6 Ni 0.1705 0.6614 0.3336  5 Ga 2.49-2.61, 6 Ni 2.55-2.63, 1 Rh 2.60
7 Ni 0.2451 0.9940 0.5118  4 Ga 2.37-2.49, 6 Ni 2.54-2.63
8 Ni 0.3886 0.6472 0.8442  5 Ga 2.52-2.65, 6 Ni 2.54-2.81, 1 Rh 2.66
9 Ni 0.6114 0.3528 0.1558  5 Ga 2.52-2.65, 6 Ni 2.54-2.81, 1 Rh 2.66
10 Ni 0.7549 0.0060 0.4882  4 Ga 2.37-2.49, 6 Ni 2.54-2.63
11 Ni 0.8295 0.3386 0.6664  5 Ga 2.49-2.61, 6 Ni 2.55-2.63, 1 Rh 2.60
12 Rh 0.5000 0.0000 0.0000  4 Ga 2.55, 8 Ni 2.59-2.70

Record 4
The following is a GGA-PBE calculation of crystalline CdPS2 at its relaxed geometry, from the Alexandria database.

Energy relative to the lowest polymorph listed for this composition in eV/atom: 0.152
Space group: R-3m (166)
Uncorrected formation energy in kJ/mol of formula units: 76

a = 7.6987 Å, b = 7.6987 Å, c = 7.6987 Å
α = 28.99°, β = 28.99°, γ = 28.99°
With the nearest neighbours (Å) after each atom.
Fractional positions:
1 Cd 0.0000 0.0000 0.0000  6 S 2.69
2 P 0.5000 0.5000 0.5000  2 S 2.18
3 S 0.4015 0.4015 0.4015  1 P 2.18
4 S 0.5985 0.5985 0.5985  1 P 2.18

Record 5
The following is a GGA-PBE calculation of crystalline Ca2Bi2Pb at its relaxed geometry, from the Alexandria database.

Energy relative to the lowest polymorph listed for this composition in eV/atom: 0.000
Formation energy from the elements in eV per atom: -0.5686
Space group: P4/mbm (127)

a = 9.2978 Å, b = 9.2978 Å, c = 3.7796 Å
α = 90.00°, β = 90.00°, γ = 90.00°
With the nearest neighbours (Å) after each atom.
Fractional positions:
1 Ca 0.1402 0.3598 0.0000  6 Bi 3.23-3.38
2 Ca 0.3598 0.8598 0.0000  6 Bi 3.23-3.38
3 Ca 0.6402 0.1402 0.0000  6 Bi 3.23-3.38
4 Ca 0.8598 0.6402 0.0000  6 Bi 3.23-3.38
5 Bi 0.1602 0.6602 0.5000  6 Ca 3.23-3.38, 2 Pb 3.49
6 Bi 0.3398 0.1602 0.5000  6 Ca 3.23-3.38, 2 Pb 3.49
7 Bi 0.6602 0.8398 0.5000  6 Ca 3.23-3.38, 2 Pb 3.49
8 Bi 0.8398 0.3398 0.5000  6 Ca 3.23-3.38, 2 Pb 3.49
9 Pb 0.0000 0.0000 0.5000  4 Bi 3.49, 2 Pb 3.78
10 Pb 0.5000 0.5000 0.5000  4 Bi 3.49, 2 Pb 3.78

Record 6
The following is a GGA-PBE calculation of crystalline ZrCrTc2 at its relaxed geometry, from the Alexandria database.

Formation energy from the elements in eV per atom: 0.2027
Space group: Cmm2 (35)

a = 2.7748 Å, b = 2.7748 Å, c = 8.7232 Å
α = 90.00°, β = 90.00°, γ = 111.79°
With the nearest neighbours (Å) after each atom.
Fractional positions:
1 Zr 0.0000 0.0000 0.0000  2 Cr 2.76, 4 Zr 2.77, 2 Tc 2.84
2 Cr 0.5000 0.5000 0.2620  2 Tc 2.45
3 Tc 0.0000 0.0000 0.4787  2 Cr 2.45, 2 Tc 2.67
4 Tc 0.5000 0.5000 0.7274  6 Tc 2.67-2.77, 2 Zr 2.84

Record 7
The following is a GGA-PBE calculation of crystalline CeHfScIn at its relaxed geometry, from the Alexandria database.

Formation energy from the elements in eV per atom: -0.0018
Space group: F-43m (216)

a = 5.0980 Å, b = 5.0980 Å, c = 5.0980 Å
α = 60.00°, β = 60.00°, γ = 60.00°
With the nearest neighbours (Å) after each atom.
Fractional positions:
1 Ce 0.0000 0.0000 0.0000  4 Sc 3.12, 4 Hf 3.12
2 Hf 0.2500 0.2500 0.2500  4 In 3.12, 4 Ce 3.12
3 Sc 0.7500 0.7500 0.7500  4 In 3.12, 4 Ce 3.12
4 In 0.5000 0.5000 0.5000  4 Hf 3.12, 4 Sc 3.12

Record 8
The following is a GGA-PBE calculation of crystalline BaYBr2 at its relaxed geometry, from the Alexandria database.

Energy relative to the lowest polymorph listed for this composition in eV/atom: 0.090
Space group: Pm (6)
Uncorrected formation energy in kJ/mol of formula units: -434

a = 3.9154 Å, b = 5.6409 Å, c = 6.2655 Å
α = 90.00°, β = 108.14°, γ = 90.00°
With the nearest neighbours (Å) after each atom.
Fractional positions:
1 Ba 0.0000 0.0000 0.0000  7 Br 3.28-3.60
2 Y 0.2948 0.5000 0.5883  4 Br 2.83-3.13
3 Br 0.2761 0.0000 0.5506  2 Y 2.83
4 Br 0.5892 0.5000 0.1791  2 Y 3.12-3.13

Record 9
The following is a GGA-PBE calculation of crystalline TbDySiNi at its relaxed geometry, from the Alexandria database.

Energy relative to the lowest polymorph listed for this composition in eV/atom: 0.000
Space group: Amm2 (38)
Uncorrected formation energy in kJ/mol of formula units: -244

a = 4.0491 Å, b = 5.6540 Å, c = 5.6540 Å
α = 41.39°, β = 90.00°, γ = 90.00°
With the nearest neighbours (Å) after each atom.
Fractional positions:
1 Tb 0.0000 0.0000 0.0000  4 Si 2.95, 3 Ni 2.97-3.09
2 Dy 0.5000 0.2808 0.2808  4 Ni 2.95, 3 Si 2.97-3.10
3 Si 0.5000 0.5737 0.5737  2 Ni 2.48
4 Ni 0.0000 0.7083 0.7083  2 Si 2.48

Record 10
The following is a GGA-PBE calculation of crystalline LaYZnRu at its relaxed geometry, from the Alexandria database.

Formation energy from the elements in eV per atom: -0.2679
Space group: F-43m (216)

a = 5.0519 Å, b = 5.0519 Å, c = 5.0519 Å
α = 60.00°, β = 60.00°, γ = 60.00°
With the nearest neighbours (Å) after each atom.
Fractional positions:
1 La 0.0000 0.0000 0.0000  4 Ru 3.09, 4 Zn 3.09
2 Y 0.5000 0.5000 0.5000  4 Ru 3.09, 4 Zn 3.09
3 Zn 0.2500 0.2500 0.2500  4 La 3.09, 4 Y 3.09
4 Ru 0.7500 0.7500 0.7500  4 La 3.09, 4 Y 3.09

Record 11
The following is a GGA-PBE calculation of crystalline Ac2Sm2Tl7 at its relaxed geometry, from the Alexandria database.

Formation energy from the elements in eV per atom: 0.0388
Space group: Cmmm (65)

a = 7.0842 Å, b = 7.0842 Å, c = 8.2808 Å
α = 90.00°, β = 90.00°, γ = 104.72°
With the nearest neighbours (Å) after each atom.
Fractional positions:
1 Ac 0.1935 0.8065 0.0000  7 Tl 3.35-3.44
2 Ac 0.8065 0.1935 0.0000  7 Tl 3.35-3.44
3 Sm 0.3102 0.3102 0.5000  6 Tl 3.12-3.26, 1 Sm 3.29
4 Sm 0.6898 0.6898 0.5000  6 Tl 3.12-3.26, 1 Sm 3.29
5 Tl 0.0000 0.0000 0.3082  2 Sm 3.12, 1 Tl 3.18, 2 Ac 3.35
6 Tl 0.0000 0.0000 0.6918  2 Sm 3.12, 1 Tl 3.18, 2 Ac 3.35
7 Tl 0.0000 0.5000 0.3096  1 Tl 3.15, 2 Sm 3.26, 2 Ac 3.41
8 Tl 0.0000 0.5000 0.6904  1 Tl 3.15, 2 Sm 3.26, 2 Ac 3.41
9 Tl 0.5000 0.0000 0.3096  1 Tl 3.15, 2 Sm 3.26, 2 Ac 3.41
10 Tl 0.5000 0.0000 0.6904  1 Tl 3.15, 2 Sm 3.26, 2 Ac 3.41
11 Tl 0.5000 0.5000 0.0000  2 Ac 3.44

Here are the calculated volume numbers, same order: 30.2 23.3 12.3 23.7 32.7 15.6 23.4 32.9 21.4 22.8 36.5 (Å³/atom).
Here are the calculated total magnetization numbers, same order: 1.1 7.8 0.0 0.0 0.0 0.0 1.3 0.4 0.0 0.0 0.0 (Bohr magnetons per cell).
Here are the calculated electronic total energy numbers, same order: -3.401 -7.838 -5.297 -3.447 -3.663 -9.523 -6.241 -4.058 -5.743 -5.753 -3.072 (eV/atom).